Record 1
The following is a PBE calculation of crystalline BaPaNb2O8 at its relaxed geometry, from Alexandria.

For the spin magnetization, the calculation gives 1.06 μB per cell. The calculation puts the electronic total energy at -105.43 eV/cell. The formation energy without anion corrections is -2.851 eV/atom.

The space group is P-3m1 (No. 164) and the conventional cell measures 6.1148, 6.1148 and 7.5721 Å, with angles of 90.00, 90.00 and 120.00 degrees. The distinct sites, in fractional coordinates, are Ba at (0.0000, 0.0000, 0.0000), Pa at (0.0000, 0.0000, 0.5000), Nb at (0.3333, 0.6667, 0.2300), O at (0.1615, 0.3230, 0.3046) and O at (0.3333, 0.6667, 0.9921).

Record 2
The following is a PBE calculation of crystalline BaNbPbO6 at its relaxed geometry, from Alexandria.

For the spin magnetization, the calculation gives 2.15 μB per cell. The calculation puts the electronic total energy at -124.00 eV/cell. The formation energy without anion corrections is -1.839 eV/atom.

The space group is P-31c (No. 163) and the conventional cell measures 5.6916, 5.6916 and 11.2390 Å, with angles of 90.00, 90.00 and 120.00 degrees. The distinct sites, in fractional coordinates, are Ba at (0.0000, 0.0000, 0.0000), Nb at (0.3333, 0.6667, 0.2500), Pb at (0.3333, 0.6667, 0.7500) and O at (0.0215, 0.4024, 0.1466).

Record 3
The following is a PBE calculation of crystalline Ba2NbPbO at its relaxed geometry, from Alexandria.

For the spin magnetization, the calculation gives 3.16 μB per cell. The calculation puts the electronic total energy at -24.10 eV/cell. The formation energy without anion corrections is -0.303 eV/atom.

The space group is P4/mmm (No. 123) and the conventional cell measures 5.341, 5.341 and 5.203 Å, with angles of 90.00, 90.00 and 90.00 degrees. The distinct sites, in fractional coordinates, are Ba at (0.000, 0.500, 0.000), Nb at (0.000, 0.000, 0.500), Pb at (0.500, 0.500, 0.500) and O at (0.500, 0.500, 0.000).

Record 4
The following is a PBE calculation of crystalline Ba4Nb3PbO12 at its relaxed geometry, from Alexandria.

For the spin magnetization, the calculation gives 1.98 μB per cell. The calculation puts the electronic total energy at -303.55 eV/cell. The formation energy without anion corrections is -2.533 eV/atom.

The space group is Im-3m (No. 229) and the conventional cell measures 8.586, 8.586 and 8.586 Å, with angles of 90.00, 90.00 and 90.00 degrees. The distinct sites, in fractional coordinates, are Ba at (0.250, 0.250, 0.250), Nb at (0.000, 0.000, 0.500), Pb at (0.000, 0.000, 0.000), O at (0.000, 0.000, 0.275) and O at (0.000, 0.250, 0.500).

Record 5
The following is a PBE calculation of crystalline BaNbPb2O6 at its relaxed geometry, from Alexandria.

For the spin magnetization, the calculation gives 0.00 μB per cell. The calculation puts the electronic total energy at -135.87 eV/cell. The formation energy without anion corrections is -1.878 eV/atom.

The space group is P2_1/c (No. 14) and the conventional cell measures 5.843, 6.501 and 10.459 Å, with angles of 90.00, 123.18 and 90.00 degrees. The distinct sites, in fractional coordinates, are Ba at (0.000, 0.000, 0.000), Nb at (0.500, 0.000, 0.500), Pb at (0.221, 0.025, 0.724), O at (0.168, 0.145, 0.469), O at (0.253, 0.746, 0.891) and O at (0.429, 0.111, 0.296).

Record 6
The following is a PBE calculation of crystalline Ba3PmNb2O9 at its relaxed geometry, from Alexandria.

For the spin magnetization, the calculation gives 0.00 μB per cell. The calculation puts the electronic total energy at -118.59 eV/cell. The formation energy without anion corrections is -2.887 eV/atom.

The space group is P-3m1 (No. 164) and the conventional cell measures 6.0356, 6.0356 and 7.4597 Å, with angles of 90.00, 90.00 and 120.00 degrees. The distinct sites, in fractional coordinates, are Ba at (0.0000, 0.0000, 0.0000), Ba at (0.3333, 0.6667, 0.6780), Pm at (0.0000, 0.0000, 0.5000), Nb at (0.3333, 0.6667, 0.1617), O at (0.0000, 0.5000, 0.0000) and O at (0.1764, 0.3528, 0.3139).

Record 7
The following is a PBE calculation of crystalline Ba4PmNb3O12 at its relaxed geometry, from Alexandria.

For the spin magnetization, the calculation gives 0.01 μB per cell. The calculation puts the electronic total energy at -317.37 eV/cell. The formation energy without anion corrections is -2.827 eV/atom.

The space group is Im-3m (No. 229) and the conventional cell measures 8.501, 8.501 and 8.501 Å, with angles of 90.00, 90.00 and 90.00 degrees. The distinct sites, in fractional coordinates, are Ba at (0.250, 0.250, 0.250), Pm at (0.000, 0.000, 0.000), Nb at (0.000, 0.000, 0.500), O at (0.000, 0.000, 0.267) and O at (0.000, 0.250, 0.500).

Record 8
The following is a PBE calculation of crystalline Ba4PrNb3O12 at its relaxed geometry, from Alexandria.

For the spin magnetization, the calculation gives 0.01 μB per cell. The calculation puts the electronic total energy at -316.13 eV/cell. The formation energy without anion corrections is -2.794 eV/atom.

The space group is Im-3m (No. 229) and the conventional cell measures 8.538, 8.538 and 8.538 Å, with angles of 90.00, 90.00 and 90.00 degrees. The distinct sites, in fractional coordinates, are Ba at (0.250, 0.250, 0.250), Pr at (0.000, 0.000, 0.000), Nb at (0.000, 0.000, 0.500), O at (0.000, 0.000, 0.269) and O at (0.000, 0.250, 0.500).